Entry 1:
CsNaNiTe | PBE | relaxed

Cell lengths 5.671, 5.671, 5.671 Å; angles 60.00, 60.00, 60.00 degrees
Positions (direct):
Cs 0.250 0.250 0.250
Na 0.750 0.750 0.750
Ni 0.500 0.500 0.500
Te 0.000 0.000 0.000

SG	No. 216
total moment	0.267	μB per atom
E above lowest polymorph	0.774	eV per formula unit

---

Entry 2:
CsNaNiTe | PBE | relaxed

Cell lengths 5.265, 5.265, 5.265 Å; angles 60.00, 60.00, 60.00 degrees
Positions (direct):
Cs 0.500 0.500 0.500
Na 0.750 0.750 0.750
Ni 0.250 0.250 0.250
Te 0.000 0.000 0.000

SG	No. 216
total moment	0.000	μB per atom
E above lowest polymorph	0.000	eV per formula unit

---

Entry 3:
CsNaNiTe | PBE | relaxed

Cell lengths 5.471, 5.471, 5.471 Å; angles 60.00, 60.00, 60.00 degrees
Positions (direct):
Cs 0.000 0.000 0.000
Na 0.750 0.750 0.750
Ni 0.500 0.500 0.500
Te 0.250 0.250 0.250

SG	No. 216
total moment	0.031	μB per atom
E above lowest polymorph	0.666	eV per formula unit

---

Entry 4:
CsNaNp | PBE | relaxed

Cell lengths 6.177, 6.177, 6.177 Å; angles 60.00, 60.00, 60.00 degrees
Positions (direct):
Cs 0.000 0.000 0.000
Na 0.250 0.250 0.250
Np 0.750 0.750 0.750

energy	-3.3925	eV/atom
SG	No. 216
total moment	1.907	μB per atom

---

Entry 5:
CsNaNpSe3 | PBE | relaxed

Cell lengths 8.112, 8.112, 11.248 Å; angles 90.00, 90.00, 148.57 degrees
Positions (direct):
Cs 0.738 0.262 0.250
Cs 0.262 0.738 0.750
Na 0.451 0.549 0.250
Na 0.549 0.451 0.750
Np 0.000 0.000 0.000
Np 0.000 0.000 0.500
Se 0.382 0.618 0.025
Se 0.053 0.947 0.250
Se 0.382 0.618 0.475
Se 0.618 0.382 0.525
Se 0.947 0.053 0.750
Se 0.618 0.382 0.975

energy	-5.3758	eV/atom
SG	No. 63
total moment	0.500	μB per atom

---

Entry 6:
CsNa4ReO6 | PBE | relaxed

Cell lengths 5.758, 5.758, 5.913 Å; angles 97.52, 97.52, 115.43 degrees
Positions (direct):
Cs 0.500 0.500 0.000
Na 0.848 0.152 0.000
Na 0.152 0.848 0.000
Na 0.666 0.334 0.500
Na 0.334 0.666 0.500
O 0.207 0.207 0.306
O 0.970 0.688 0.308
O 0.688 0.970 0.308
O 0.312 0.030 0.692
O 0.030 0.312 0.692
O 0.793 0.793 0.694
Re 0.000 0.000 0.500

energy	-5.6176	eV/atom
SG	No. 12
total moment	0.000	μB per atom

---

Entry 7:
CsNaZn2P2 | PBE | relaxed

Cell lengths 4.086, 4.086, 10.078 Å; angles 90.00, 90.00, 120.00 degrees
Positions (direct):
Cs 0.000 0.000 0.000
Na 0.000 0.000 0.500
P 0.333 0.667 0.287
P 0.667 0.333 0.713
Zn 0.667 0.333 0.294
Zn 0.333 0.667 0.706

energy	-2.9960	eV/atom
SG	No. 164

---

Entry 8:
CsNaPaS3 | PBE | relaxed

Cell lengths 8.014, 8.014, 11.046 Å; angles 90.00, 90.00, 149.30 degrees
Positions (direct):
Cs 0.777 0.223 0.250
Cs 0.223 0.777 0.750
Na 0.062 0.938 0.250
Na 0.938 0.062 0.750
Pa 0.500 0.500 0.000
Pa 0.500 0.500 0.500
S 0.114 0.886 0.024
S 0.460 0.540 0.250
S 0.114 0.886 0.476
S 0.886 0.114 0.524
S 0.540 0.460 0.750
S 0.886 0.114 0.976

energy	-5.3965	eV/atom
SG	No. 63
total moment	0.166	μB per atom